Compound: Ca2NiH2
Source: the Alexandria database
Functional: SCAN
Structure: PBEsol geometry

## Properties
D(E_F)   1.588 states/eV per cell
Raw total energy   -8.72 eV/atom

abc: 3.543 3.543 12.264
angles: 90.00 90.00 90.00
Space group I4/mmm (No. 139)
Symmetry-distinct sites (fractional):
Ca (0.000, 0.000, 0.141) x4
Ni (0.000, 0.000, 0.500) x2
H (0.000, 0.500, 0.250) x4